Entry from Alexandria: an optimized crystal structure of UNi4Ge2 (PBE-GGA).

```
data_UNi4Ge2
_cell_length_a 3.6058
_cell_length_b 3.6058
_cell_length_c 16.1164
_cell_angle_alpha 90.00
_cell_angle_beta 90.00
_cell_angle_gamma 90.00
_symmetry_space_group_name_H-M 'I 4/m m m'
_symmetry_Int_Tables_number 139
_symmetry_space_group_name_Hall '-I 4 2'
loop_
_atom_site_label
_atom_site_fract_x
_atom_site_fract_y
_atom_site_fract_z
U1 0.0000 0.0000 0.0000
Ni1 0.0000 0.0000 0.1477
Ni2 0.0000 0.5000 0.2500
Ge1 0.0000 0.0000 0.3653
```

Calculated values
Volume: 210 Å³/cell
M_tot: 2.58 μB per formula unit
DFT formation energy: -0.059 eV/atom
Total DFT energy (no corrections): -0.23132 hartree per atom
E above lowest polymorph: 268 meV/atom